VASP calculation (PBE with a Hubbard U) on a relaxed structure of CsK2Fe2F7.

extended XYZ file:
```
12
Lattice="4.3148 -0.0027 0.0109 0.0026 4.3148 0.0109 2.1280 2.1254 10.7523" Properties=species:S:1:pos:R:3 pbc="T T T"
F 4.3121 2.1502 2.1933
F 2.1587 2.1561 0.0109
F 2.1555 4.3095 2.1933
F 2.1333 4.2874 8.5808
F 2.1511 2.1485 4.1718
F 4.2943 4.2890 6.6023
F 4.2900 2.1281 8.5808
K 4.3078 4.3025 3.9869
K 2.1377 2.1351 6.7872
Cs 0.0000 0.0000 0.0000
Fe 4.2904 4.2852 8.6165
Fe 2.1550 2.1524 2.1576
```

Summary:
Crystal system: monoclinic
Total magnetization, μB/cell: 8.00
ρ, kg/m3: 3785
Total energy, eV per atom: -4.92
Symmetry: No. 12